Below is a relaxed MnCo2TeMo crystal, with properties calculated at the PBE-GGA level.

a = 4.189 Å, b = 4.189 Å, c = 4.757 Å
α = 90.00°, β = 90.00°, γ = 90.00°
Fractional positions:
Mn (0.000, 0.000, 0.000)
Co (0.000, 0.500, 0.000)
Co (0.500, 0.000, 0.000)
Te (0.000, 0.000, 0.500)
Mo (0.500, 0.500, 0.500)

Computed properties:
**SG**: No. 123
**Crystal system**: tetragonal
**Total magnetic moment**: 0.501 μB/atom
**Raw formation energy**: 1.28 eV/atom
**Calculated density**: 7.89 g/cm3


Below is a relaxed KHf2BF crystal, with properties calculated at the PBE-GGA level.

a = 4.387 Å, b = 4.387 Å, c = 7.921 Å
α = 90.00°, β = 90.00°, γ = 90.00°
Fractional positions:
K (0.000, 0.000, 0.000)
Hf (0.000, 0.500, 0.500)
Hf (0.500, 0.000, 0.500)
B (0.500, 0.500, 0.500)
F (0.500, 0.500, 0.000)

Computed properties:
**SG**: No. 123
**Crystal system**: tetragonal
**Total magnetic moment**: 0.096 μB/atom
**Raw formation energy**: 0.04 eV/atom
**Calculated density**: 4.64 g/cm3


Below is a relaxed TmSc2AlC crystal, with properties calculated at the PBE-GGA level.

a = 4.536 Å, b = 4.536 Å, c = 4.765 Å
α = 90.00°, β = 90.00°, γ = 90.00°
Fractional positions:
Tm (0.000, 0.000, 0.000)
Sc (0.000, 0.500, 0.500)
Sc (0.500, 0.000, 0.500)
Al (0.500, 0.500, 0.000)
C (0.000, 0.000, 0.500)

Computed properties:
**SG**: No. 123
**Crystal system**: tetragonal
**Total magnetic moment**: 0.000 μB/atom
**Energy of formation from the pure elements**: -536 meV per atom
**Calculated density**: 5.04 g/cm3


Below is a relaxed LaCdOs2 crystal, with properties calculated at the PBE-GGA level.

a = 2.898 Å, b = 3.803 Å, c = 7.570 Å
α = 90.00°, β = 90.08°, γ = 90.00°
Fractional positions:
La (0.000, 0.000, 0.000)
Cd (0.500, 0.500, 0.334)
Os (0.001, 0.000, 0.586)
Os (0.501, 0.500, 0.718)

Computed properties:
**SG**: No. 6
**Crystal system**: monoclinic
**Total magnetic moment**: 0.000 μB/atom
**Energy of formation from the pure elements**: 202 meV per atom
**Calculated density**: 12.57 g/cm3


Below is a relaxed Er5Hg4Ir crystal, with properties calculated at the PBE-GGA level.

a = 3.580 Å, b = 3.580 Å, c = 18.677 Å
α = 90.00°, β = 90.00°, γ = 90.00°
Fractional positions:
Er (0.000, 0.000, 0.000)
Er (0.000, 0.000, 0.206)
Er (0.000, 0.000, 0.415)
Er (0.000, 0.000, 0.585)
Er (0.000, 0.000, 0.794)
Hg (0.500, 0.500, 0.102)
Hg (0.500, 0.500, 0.305)
Hg (0.500, 0.500, 0.695)
Hg (0.500, 0.500, 0.898)
Ir (0.500, 0.500, 0.500)

Computed properties:
**SG**: No. 123
**Crystal system**: tetragonal
**Total magnetic moment**: 0.000 μB/atom
**Energy of formation from the pure elements**: -572 meV per atom
**Calculated density**: 12.70 g/cm3


Below is a relaxed Hf3IrRh2 crystal, with properties calculated at the PBE-GGA level.

a = 3.250 Å, b = 3.250 Å, c = 9.973 Å
α = 90.00°, β = 90.00°, γ = 90.00°
Fractional positions:
Hf (0.000, 0.000, 0.000)
Hf (0.000, 0.000, 0.334)
Hf (0.000, 0.000, 0.666)
Ir (0.500, 0.500, 0.500)
Rh (0.500, 0.500, 0.166)
Rh (0.500, 0.500, 0.834)

Computed properties:
**Excess energy over the best structure of this formula in the dataset**: 12 meV per atom
**SG**: No. 123
**Crystal system**: tetragonal
**Total magnetic moment**: 0.000 μB/atom
**Energy of formation from the pure elements**: -887 meV per atom
**Calculated density**: 14.72 g/cm3


Below is a relaxed ZnInNiMo2 crystal, with properties calculated at the PBE-GGA level.

a = 4.544 Å, b = 4.544 Å, c = 4.706 Å
α = 90.00°, β = 90.00°, γ = 90.00°
Fractional positions:
Zn (0.000, 0.000, 0.000)
In (0.500, 0.500, 0.000)
Ni (0.500, 0.500, 0.500)
Mo (0.000, 0.500, 0.500)
Mo (0.500, 0.000, 0.500)

Computed properties:
**SG**: No. 123
**Crystal system**: tetragonal
**Total magnetic moment**: 0.209 μB/atom
**Energy of formation from the pure elements**: 1115 meV per atom
**Calculated density**: 7.36 g/cm3


Below is a relaxed KCd4In4 crystal, with properties calculated at the PBE-GGA level.

a = 9.814 Å, b = 9.814 Å, c = 5.977 Å
α = 90.00°, β = 90.00°, γ = 90.00°
Fractional positions:
K (0.250, 0.250, 0.250)
K (0.750, 0.750, 0.750)
Cd (0.068, 0.910, 0.156)
Cd (0.090, 0.568, 0.656)
Cd (0.410, 0.932, 0.656)
Cd (0.432, 0.590, 0.156)
Cd (0.568, 0.410, 0.844)
Cd (0.590, 0.068, 0.344)
Cd (0.910, 0.432, 0.344)
Cd (0.932, 0.090, 0.844)
In (0.118, 0.875, 0.645)
In (0.125, 0.618, 0.145)
In (0.375, 0.882, 0.145)
In (0.382, 0.625, 0.645)
In (0.618, 0.375, 0.355)
In (0.625, 0.118, 0.855)
In (0.875, 0.382, 0.855)
In (0.882, 0.125, 0.355)

Computed properties:
**SG**: No. 86
**Crystal system**: tetragonal
**Total magnetic moment**: 0.000 μB/atom
**Energy of formation from the pure elements**: 11 meV per atom
**Calculated density**: 5.47 g/cm3